# HoTi

Crystalline HoTi at its relaxed geometry (GGA-PBE, the Alexandria database).

Summary:
ΔE_f: 0.255 eV/atom

a = 3.2265 Å, b = 5.0497 Å, c = 5.7680 Å
α = 90.00°, β = 90.03°, γ = 90.00°
Last column: nearest neighbours and their distance in Å.
Atoms (fractional coordinates):
Ho1 0.2503 0.7500 0.1109  4 Ti 3.11-3.12, 6 Ho 3.23-3.26
Ho2 0.7497 0.2500 0.8891  4 Ti 3.11-3.12, 6 Ho 3.23-3.26
Ti1 0.7505 0.7500 0.5719  6 Ti 3.11-3.23, 4 Ho 3.11-3.12
Ti2 0.2495 0.2500 0.4281  6 Ti 3.11-3.23, 4 Ho 3.11-3.12